# PBE Fe2CuNi, optimized geometry
# Excess energy over the best structure of this formula in the dataset (eV per atom): 0.024
# Energy of formation from the pure elements (meV per atom): 61
# Uncorrected energy (eV per atom): -6.64
data_Fe2CuNi
_symmetry_space_group_name_H-M 'P 1 m 1'
_symmetry_Int_Tables_number 6
_cell_length_a 2.5040
_cell_length_b 4.1286
_cell_length_c 4.4628
_cell_angle_alpha 90.00
_cell_angle_beta 90.07
_cell_angle_gamma 90.00
loop_
_symmetry_equiv_pos_as_xyz
'x,y,z'
'x,-y,z'
loop_
_atom_site_label
_atom_site_type_symbol
_atom_site_fract_x
_atom_site_fract_y
_atom_site_fract_z
Fe1 Fe 0.0000 0.0000 0.0000
Fe2 Fe 0.0013 0.5000 0.6736
Cu1 Cu 0.5020 0.5000 0.1773
Ni1 Ni 0.4998 0.0000 0.5008